1.
VASP calculation (GGA-PBE) on crystalline NaInPb2I6 at its relaxed geometry.

a = 8.324 Å, b = 8.324 Å, c = 8.887 Å
α = 62.08°, β = 62.09°, γ = 60.00°
Element x y z (fractional)
Pb (0.008, 0.008, 0.977)
Pb (0.512, 0.512, 0.465)
Na (0.320, 0.320, 0.041)
In (0.815, 0.815, 0.556)
I (0.608, 0.240, 0.241)
I (0.134, 0.385, 0.751)
I (0.385, 0.730, 0.751)
I (0.730, 0.134, 0.751)
I (0.240, 0.911, 0.241)
I (0.911, 0.608, 0.241)

## Properties
* total magnetization: 0.00 Bohr magnetons per cell
* E_tot: -27.83 eV for the cell shown
* D(E_F): 0.000 states/eV per atom
* ΔE_f (raw): -68.0 kJ per mole of atoms



2.
VASP calculation (GGA-PBE) on crystalline ScHg2MoS at its relaxed geometry.

a = 5.114 Å, b = 4.433 Å, c = 5.114 Å
α = 90.00°, β = 90.00°, γ = 90.00°
Element x y z (fractional)
Mo (0.000, 0.500, 0.000)
Sc (0.500, 0.500, 0.500)
Hg (0.000, 0.000, 0.500)
S (0.000, 0.000, 0.000)
Hg (0.500, 0.000, 0.000)

## Properties
* total magnetization: 0.64 Bohr magnetons per cell
* E_tot: -18.76 eV for the cell shown
* D(E_F): 0.885 states/eV per atom
* ΔE_f (raw): 60.5 kJ per mole of atoms



3.
VASP calculation (GGA-PBE) on crystalline CaBe4As3O12 at its relaxed geometry.

a = 6.185 Å, b = 6.185 Å, c = 6.185 Å
α = 105.59°, β = 105.59°, γ = 105.59°
Element x y z (fractional)
O (0.095, 0.905, 0.500)
Be (0.065, 0.500, 0.935)
O (0.634, 0.759, 0.027)
Be (0.935, 0.065, 0.500)
O (0.241, 0.366, 0.973)
O (0.500, 0.095, 0.905)
O (0.341, 0.659, 0.500)
O (0.905, 0.500, 0.095)
O (0.973, 0.241, 0.366)
Be (0.500, 0.500, 0.500)
O (0.759, 0.027, 0.634)
Be (0.500, 0.935, 0.065)
Ca (0.000, 0.000, 0.000)
O (0.027, 0.634, 0.759)
O (0.500, 0.341, 0.659)
As (0.000, 0.556, 0.444)
O (0.659, 0.500, 0.341)
O (0.366, 0.973, 0.241)
As (0.556, 0.444, 0.000)
As (0.444, 0.000, 0.556)

## Properties
* total magnetization: 0.00 Bohr magnetons per cell
* E_tot: -127.62 eV for the cell shown
* D(E_F): 0.198 states/eV per atom
* ΔE_f (raw): -179.8 kJ per mole of atoms



4.
VASP calculation (GGA-PBE) on crystalline BeZnCd at its relaxed geometry.

a = 4.246 Å, b = 4.246 Å, c = 4.246 Å
α = 60.00°, β = 60.00°, γ = 60.00°
Element x y z (fractional)
Zn (0.000, 0.000, 0.000)
Be (0.500, 0.500, 0.500)
Cd (0.750, 0.750, 0.750)

## Properties
* total magnetization: 0.00 Bohr magnetons per cell
* E_tot: -4.25 eV for the cell shown
* D(E_F): 0.835 states/eV per atom
* E above lowest polymorph: 343.2 meV/atom



5.
VASP calculation (GGA-PBE) on crystalline Tb3NdSm2 at its relaxed geometry.

a = 3.524 Å, b = 10.366 Å, c = 11.816 Å
α = 108.23°, β = 98.58°, γ = 90.00°
Element x y z (fractional)
Sm (0.308, 0.628, 0.617)
Tb (0.068, 0.763, 0.136)
Nd (0.686, 0.038, 0.372)
Tb (0.440, 0.555, 0.881)
Nd (0.314, 0.962, 0.628)
Sm (0.068, 0.140, 0.136)
Tb (0.560, 0.445, 0.119)
Sm (0.932, 0.860, 0.864)
Tb (0.932, 0.237, 0.864)
Tb (0.695, 0.715, 0.390)
Tb (0.305, 0.285, 0.610)
Sm (0.692, 0.372, 0.383)

## Properties
* total magnetization: 0.00 Bohr magnetons per cell
* E_tot: -54.76 eV for the cell shown
* D(E_F): 1.548 states/eV per atom
* E above lowest polymorph: 0.0 meV/atom



6.
VASP calculation (GGA-PBE) on crystalline ZrCuPt3 at its relaxed geometry.

a = 4.556 Å, b = 4.556 Å, c = 4.556 Å
α = 90.00°, β = 90.00°, γ = 90.00°
Element x y z (fractional)
Pt (0.000, 0.500, 0.000)
Zr (0.500, 0.500, 0.500)
Pt (0.000, 0.000, 0.500)
Cu (0.000, 0.000, 0.000)
Pt (0.500, 0.000, 0.000)

## Properties
* total magnetization: 0.00 Bohr magnetons per cell
* E_tot: -29.34 eV for the cell shown
* D(E_F): 1.458 states/eV per atom
* E above lowest polymorph: 942.4 meV/atom



7.
VASP calculation (GGA-PBE) on crystalline LiTlPd2 at its relaxed geometry.

a = 4.814 Å, b = 4.814 Å, c = 4.814 Å
α = 128.58°, β = 128.58°, γ = 75.69°
Element x y z (fractional)
Li (0.500, 0.500, 0.000)
Pd (0.250, 0.750, 0.500)
Tl (0.000, 0.000, 0.000)
Pd (0.750, 0.250, 0.500)

## Properties
* total magnetization: 0.00 Bohr magnetons per cell
* E_tot: -16.25 eV for the cell shown
* D(E_F): 0.303 states/eV per atom



8.
VASP calculation (GGA-PBE) on crystalline Ce2P4IrRu3 at its relaxed geometry.

a = 4.154 Å, b = 4.154 Å, c = 9.490 Å
α = 90.00°, β = 90.00°, γ = 90.00°
Element x y z (fractional)
Ir (0.500, 0.500, 0.500)
Ce (0.500, 0.000, 0.240)
Ru (0.000, 0.500, 0.117)
P (0.000, 0.000, 0.000)
Ru (0.000, 0.000, 0.500)
P (0.500, 0.500, 0.000)
P (0.000, 0.500, 0.365)
Ru (0.500, 0.000, 0.883)
P (0.500, 0.000, 0.635)
Ce (0.000, 0.500, 0.760)

## Properties
* total magnetization: 0.00 Bohr magnetons per cell
* E_tot: -80.16 eV for the cell shown
* D(E_F): 0.929 states/eV per atom



9.
VASP calculation (GGA-PBE) on crystalline Li3MnH7 at its relaxed geometry.

a = 4.818 Å, b = 4.818 Å, c = 4.692 Å
α = 60.48°, β = 60.48°, γ = 91.49°
Element x y z (fractional)
H (0.056, 0.313, 0.643)
H (0.674, 0.118, 0.141)
H (0.118, 0.674, 0.141)
H (0.313, 0.056, 0.643)
H (0.665, 0.665, 0.487)
Li (0.213, 0.742, 0.527)
H (0.788, 0.788, 0.907)
Li (0.742, 0.213, 0.527)
Li (0.450, 0.450, 0.069)
Mn (0.964, 0.964, 0.025)
H (0.142, 0.142, 0.141)

## Properties
* total magnetization: 1.00 Bohr magnetons per cell
* E_tot: -40.62 eV for the cell shown
* D(E_F): 0.331 states/eV per atom



10.
VASP calculation (GGA-PBE) on crystalline RePPb2 at its relaxed geometry.

a = 3.543 Å, b = 4.540 Å, c = 5.335 Å
α = 90.00°, β = 90.00°, γ = 90.00°
Element x y z (fractional)
Re (0.500, 0.500, 0.000)
Pb (0.500, 0.000, 0.500)
Pb (0.000, 0.000, 0.000)
P (0.000, 0.500, 0.500)

## Properties
* total magnetization: 0.00 Bohr magnetons per cell
* E_tot: -20.76 eV for the cell shown
* D(E_F): 1.066 states/eV per atom



11.
VASP calculation (GGA-PBE) on crystalline CeHoTmMg at its relaxed geometry.

a = 5.467 Å, b = 5.467 Å, c = 5.467 Å
α = 60.00°, β = 60.00°, γ = 60.00°
Element x y z (fractional)
Ce (0.250, 0.250, 0.250)
Ho (0.750, 0.750, 0.750)
Tm (0.000, 0.000, 0.000)
Mg (0.500, 0.500, 0.500)

## Properties
* total magnetization: 1.34 Bohr magnetons per cell
* E_tot: -16.25 eV for the cell shown
* D(E_F): 1.730 states/eV per atom



12.
VASP calculation (GGA-PBE) on crystalline VSn3Br8 at its relaxed geometry.

a = 8.521 Å, b = 8.523 Å, c = 8.536 Å
α = 120.11°, β = 90.00°, γ = 119.99°
Element x y z (fractional)
Br (0.251, 0.501, 0.753)
Sn (0.500, 0.000, 0.000)
Br (0.223, 0.000, 0.778)
V (0.000, 0.000, 0.000)
Br (0.777, 0.555, 0.778)
Br (0.777, 0.000, 0.778)
Br (0.749, 0.499, 0.247)
Br (0.777, 0.000, 0.222)
Br (0.223, 0.000, 0.222)
Sn (0.500, 0.500, 0.000)
Br (0.223, 0.445, 0.222)
Sn (0.000, 0.500, 0.000)

## Properties
* total magnetization: 3.00 Bohr magnetons per cell
* E_tot: -43.55 eV for the cell shown
* ΔE_f (raw): -72.7 kJ per mole of atoms